VASP calculation (GGA-PBE) on MgTl2Ag after structural relaxation.

Output
Crystal system: monoclinic
Formation energy from the elements in eV per atom: -0.01
Total magnetic moment in μB per cell: 0.00
Calculated volume in Å³ per cell: 99
Density of states at the Fermi level in states/eV/cell: 1.34

Cell: 3.3952 3.4904 8.3232 Å, 90.00 91.48 90.00°
Last column: nearest neighbours and their distance in Å.
Space group Pm (No. 6)
Asymmetric unit:
Mg  0.0000  0.0000  0.0000 [1 per cell]  4 Ag 2.84-2.85
Tl  0.0042  0.0000  0.4302 [1 per cell]  4 Ag 3.19-3.26, 6 Tl 3.40-3.49
Tl  0.4978  0.5000  0.7372 [1 per cell]  4 Mg 3.25-3.30, 8 Tl 3.40-3.57
Ag  0.5075  0.5000  0.1769 [1 per cell]  4 Mg 2.84-2.85

=====

VASP calculation (GGA-PBE) on MgTlAg2 after structural relaxation.

Output
Crystal system: monoclinic
Formation energy from the elements in eV per atom: 0.00
Total magnetic moment in μB per cell: 0.00
Calculated volume in Å³ per cell: 167
Density of states at the Fermi level in states/eV/cell: 2.72

Cell: 9.8243 3.3385 5.2527 Å, 90.00 103.64 90.00°
Last column: nearest neighbours and their distance in Å.
Space group Cm (No. 8)
Asymmetric unit:
Mg  0.0000  0.0000  0.0000 [2 per cell]  5 Ag 2.90-2.99, 3 Tl 3.11-3.15
Tl  0.2390  0.0000  0.7025 [2 per cell]  7 Ag 3.00-3.13, 3 Mg 3.11-3.15, 2 Tl 3.34
Ag  0.2416  0.5000  0.2078 [2 per cell]  3 Mg 2.90-2.99, 3 Ag 2.95-3.09, 4 Tl 3.09-3.13
Ag  0.4842  0.0000  0.4526 [2 per cell]  2 Mg 2.94, 3 Ag 2.95-3.09, 3 Tl 3.00-3.04

=====

VASP calculation (GGA-PBE) on Mg4TlAg after structural relaxation.

Output
Crystal system: monoclinic
Formation energy from the elements in eV per atom: -0.07
Total magnetic moment in μB per cell: 0.00
E above lowest polymorph in eV/f.u.: 0.000
Calculated volume in Å³ per cell: 518
Density of states at the Fermi level in states/eV/cell: 4.93

Cell: 7.4670 7.4624 10.0096 Å, 90.00 111.68 90.00°
Last column: nearest neighbours and their distance in Å.
Space group C2/m (No. 12)
Asymmetric unit:
Mg  0.1628  0.0000  0.3272 [4 per cell]  1 Ag 3.04, 4 Tl 3.08-3.10, 5 Mg 3.09-3.21
Mg  0.1640  0.5000  0.3272 [4 per cell]  1 Ag 3.04, 4 Tl 3.09, 5 Mg 3.09-3.21
Mg  0.1719  0.2504  0.8461 [8 per cell]  5 Mg 2.86-3.10, 4 Ag 2.99-3.01
Tl  0.0000  0.2505  0.5000 [4 per cell]  10 Mg 3.08-3.22
Ag  0.0000  0.0000  0.0000 [2 per cell]  10 Mg 3.00-3.04
Ag  0.0000  0.5000  0.0000 [2 per cell]  10 Mg 2.99-3.04

=====

VASP calculation (GGA-PBE) on MgTlAg2 after structural relaxation.

Output
Crystal system: trigonal
Formation energy from the elements in eV per atom: 0.05
Total magnetic moment in μB per cell: 0.00
Calculated volume in Å³ per cell: 259
Density of states at the Fermi level in states/eV/cell: 7.32

Cell: 3.2677 3.2677 27.9873 Å, 90.00 90.00 120.00°
Last column: nearest neighbours and their distance in Å.
Space group R-3m (No. 166, hexagonal axes)
Asymmetric unit:
Mg  0.0000  0.0000  0.0000 [3 per cell]  6 Ag 2.87
Tl  0.0000  0.0000  0.5000 [3 per cell]  6 Ag 3.13, 6 Tl 3.27
Ag  0.0000  0.0000  0.2559 [6 per cell]  3 Mg 2.87, 3 Tl 3.13

=====

VASP calculation (GGA-PBE) on Mg8TlAg2 after structural relaxation.

Output
Crystal system: triclinic
Formation energy from the elements in eV per atom: -0.08
Total magnetic moment in μB per cell: 0.00
E above lowest polymorph in eV/f.u.: 0.000
Calculated volume in Å³ per cell: 239
Density of states at the Fermi level in states/eV/cell: 3.60

Cell: 4.7997 6.7897 8.3987 Å, 66.18 74.35 89.95°
Last column: nearest neighbours and their distance in Å.
Space group P1 (No. 1)
Asymmetric unit:
Mg  0.0000  0.0000  0.0000 [1 per cell]  3 Ag 2.84, 6 Mg 3.02-3.15
Mg  0.0343  0.4936  0.9282 [1 per cell]  3 Ag 2.96-3.02, 1 Tl 3.00, 4 Mg 3.05-3.27
Mg  0.2066  0.3444  0.5925 [1 per cell]  1 Tl 2.93, 6 Mg 3.07-3.28
Mg  0.3757  0.8302  0.2572 [1 per cell]  3 Ag 2.96-3.03, 1 Tl 3.00, 5 Mg 3.05-3.31
Mg  0.4102  0.4068  0.1851 [1 per cell]  3 Ag 2.84, 6 Mg 3.02-3.16
Mg  0.5839  0.8787  0.8325 [1 per cell]  1 Ag 2.83, 2 Tl 3.00-3.06, 3 Mg 3.02-3.08
Mg  0.7060  0.6261  0.5923 [1 per cell]  2 Ag 2.79, 4 Mg 3.07-3.08, 2 Tl 3.09
Mg  0.8252  0.1186  0.3548 [1 per cell]  1 Ag 2.83, 2 Tl 3.00-3.06, 3 Mg 3.02-3.08
Tl  0.2049  0.9125  0.5933 [1 per cell]  9 Mg 2.93-3.09
Ag  0.5407  0.2463  0.9123 [1 per cell]  8 Mg 2.79-3.03
Ag  0.8698  0.5670  0.2717 [1 per cell]  8 Mg 2.79-3.02

=====

VASP calculation (GGA-PBE) on MgTl2Ag after structural relaxation.

Output
Crystal system: orthorhombic
Formation energy from the elements in eV per atom: 0.04
Total magnetic moment in μB per cell: 0.00
Calculated volume in Å³ per cell: 97
Density of states at the Fermi level in states/eV/cell: 1.04

Cell: 4.1511 4.8071 4.8431 Å, 90.00 90.00 90.00°
Last column: nearest neighbours and their distance in Å.
Space group Pmmm (No. 47)
Asymmetric unit:
Mg  0.0000  0.0000  0.0000 [1 per cell]  8 Tl 3.18-3.19, 4 Ag 3.41
Tl  0.5000  0.0000  0.5000 [1 per cell]  4 Ag 3.18, 4 Mg 3.19, 4 Tl 3.41
Tl  0.5000  0.5000  0.0000 [1 per cell]  4 Mg 3.18, 4 Ag 3.19, 4 Tl 3.41
Ag  0.0000  0.5000  0.5000 [1 per cell]  8 Tl 3.18-3.19, 4 Mg 3.41

=====

VASP calculation (GGA-PBE) on MgTl2Ag after structural relaxation.

Output
Crystal system: monoclinic
Formation energy from the elements in eV per atom: 0.03
Total magnetic moment in μB per cell: 0.00
Calculated volume in Å³ per cell: 195
Density of states at the Fermi level in states/eV/cell: 2.97

Cell: 11.3156 3.4724 5.2212 Å, 90.00 108.44 90.00°
Last column: nearest neighbours and their distance in Å.
Space group Cm (No. 8)
Asymmetric unit:
Mg  0.0000  0.0000  0.0000 [2 per cell]  2 Ag 2.90, 5 Tl 3.16-3.19
Tl  0.2398  0.0000  0.8042 [2 per cell]  4 Ag 3.16, 3 Mg 3.19-3.29, 3 Tl 3.47
Tl  0.4612  0.0000  0.4725 [2 per cell]  4 Mg 3.16-3.17, 3 Ag 3.22-3.25, 5 Tl 3.47-3.54
Ag  0.2050  0.5000  0.2809 [2 per cell]  2 Mg 2.90, 5 Tl 3.16-3.22

=====

VASP calculation (GGA-PBE) on MgTl2Ag after structural relaxation.

Output
Crystal system: trigonal
Formation energy from the elements in eV per atom: 0.05
Total magnetic moment in μB per cell: 0.00
Calculated volume in Å³ per cell: 291
Density of states at the Fermi level in states/eV/cell: 2.95

Cell: 3.4421 3.4421 28.3506 Å, 90.00 90.00 120.00°
Last column: nearest neighbours and their distance in Å.
Space group R-3m (No. 166, hexagonal axes)
Asymmetric unit:
Mg  0.0000  0.0000  0.0000 [3 per cell]  6 Tl 3.14, 6 Mg 3.44
Tl  0.0000  0.0000  0.2475 [6 per cell]  3 Ag 3.03, 3 Mg 3.14
Ag  0.0000  0.0000  0.5000 [3 per cell]  6 Tl 3.03

=====

What did the sixth record say?
VASP calculation (GGA-PBE) on MgTl2Ag after structural relaxation.

Output
Crystal system: orthorhombic
Formation energy from the elements in eV per atom: 0.04
Total magnetic moment in μB per cell: 0.00
Calculated volume in Å³ per cell: 97
Density of states at the Fermi level in states/eV/cell: 1.04

Cell: 4.1511 4.8071 4.8431 Å, 90.00 90.00 90.00°
Last column: nearest neighbours and their distance in Å.
Space group Pmmm (No. 47)
Asymmetric unit:
Mg  0.0000  0.0000  0.0000 [1 per cell]  8 Tl 3.18-3.19, 4 Ag 3.41
Tl  0.5000  0.0000  0.5000 [1 per cell]  4 Ag 3.18, 4 Mg 3.19, 4 Tl 3.41
Tl  0.5000  0.5000  0.0000 [1 per cell]  4 Mg 3.18, 4 Ag 3.19, 4 Tl 3.41
Ag  0.0000  0.5000  0.5000 [1 per cell]  8 Tl 3.18-3.19, 4 Mg 3.41